(1)
K2InPbI6 | PBE-GGA | relaxed

abc: 8.541 8.543 8.838
angles: 61.07 61.10 60.01
Atoms (fractional coordinates):
K (0.529, 0.529, 0.412)
K (0.029, 0.029, 0.914)
In (0.321, 0.322, 0.036)
Pb (0.821, 0.821, 0.536)
I (0.579, 0.179, 0.266)
I (0.178, 0.977, 0.266)
I (0.976, 0.579, 0.266)
I (0.469, 0.670, 0.773)
I (0.670, 0.088, 0.773)
I (0.088, 0.468, 0.773)

DOS(E_F), states/eV per atom: 0.4300
Formation energy from raw total energies, eV/atom: -0.89

=====

(2)
CeEr2Cr2C4 | PBE-GGA | relaxed

abc: 3.294 6.822 5.833
angles: 111.72 90.00 103.97
Atoms (fractional coordinates):
Ce (0.000, 0.000, 0.000)
Er (0.856, 0.711, 0.462)
Er (0.144, 0.289, 0.538)
Cr (0.326, 0.652, 0.024)
Cr (0.674, 0.348, 0.976)
C (0.778, 0.557, 0.801)
C (0.222, 0.443, 0.199)
C (0.481, 0.962, 0.365)
C (0.519, 0.038, 0.635)

DOS(E_F), states/eV per atom: 0.9242
Total energy, eV per formula unit: -72.48

=====

(3)
CaAgW2 | PBE-GGA | relaxed

abc: 2.708 5.116 5.457
angles: 90.00 90.00 90.00
Atoms (fractional coordinates):
Ca (0.500, 0.500, 0.750)
Ag (0.500, 0.500, 0.250)
W (0.000, 0.000, 0.994)
W (0.000, 0.000, 0.506)

Offset from the most stable computed form, eV per atom: 0.3836
DOS(E_F), states/eV per atom: 0.9754

=====

(4)
AcDy12Tl3 | PBE-GGA | relaxed

abc: 4.893 4.893 20.063
angles: 90.00 90.00 90.00
Atoms (fractional coordinates):
Ac (0.000, 0.000, 0.000)
Dy (0.500, 0.500, 0.000)
Dy (0.500, 0.500, 0.259)
Dy (0.500, 0.500, 0.500)
Dy (0.500, 0.500, 0.741)
Dy (0.500, 0.000, 0.136)
Dy (0.500, 0.000, 0.379)
Dy (0.500, 0.000, 0.621)
Dy (0.500, 0.000, 0.864)
Dy (0.000, 0.500, 0.136)
Dy (0.000, 0.500, 0.379)
Dy (0.000, 0.500, 0.621)
Dy (0.000, 0.500, 0.864)
Tl (0.000, 0.000, 0.259)
Tl (0.000, 0.000, 0.500)
Tl (0.000, 0.000, 0.741)

DOS(E_F), states/eV per atom: 1.3919
Total energy, eV per formula unit: -68.05

=====

(5)
La2TbHoS4 | PBE-GGA | relaxed

abc: 3.976 6.931 7.094
angles: 108.84 90.00 90.00
Atoms (fractional coordinates):
La (0.500, 0.000, 0.500)
La (0.000, 0.500, 0.500)
Tb (0.500, 0.500, 0.000)
Ho (0.000, 0.000, 0.000)
S (0.500, 0.241, 0.228)
S (0.500, 0.759, 0.772)
S (0.000, 0.255, 0.770)
S (0.000, 0.745, 0.230)

DOS(E_F), states/eV per atom: 0.6235
Formation energy from raw total energies, eV/atom: -2.09

=====

(6)
TlSbP | PBE-GGA | relaxed

abc: 7.902 7.561 3.516
angles: 82.34 71.50 26.16
Atoms (fractional coordinates):
Tl (0.647, 0.647, 0.353)
Sb (0.366, 0.366, 0.634)
P (0.986, 0.986, 0.014)

Offset from the most stable computed form, eV per atom: 0.2257
DOS(E_F), states/eV per atom: 0.3428
Formation energy from raw total energies, eV/atom: 0.32

=====

(7)
PaTcAsRu | PBE-GGA | relaxed

abc: 4.647 4.647 4.647
angles: 60.00 60.00 60.00
Site moments in Bohr magnetons follow the coordinates.
Atoms (fractional coordinates):
Ru (0.750, 0.750, 0.750)  0.04
As (0.000, 0.000, 0.000)  0.01
Pa (0.500, 0.500, 0.500)  0.17
Tc (0.250, 0.250, 0.250)  0.03

DOS(E_F), states/eV per atom: 1.6149
Total energy, eV per formula unit: -34.46

=====

(8)
Pm3Te3I | PBE-GGA | relaxed

abc: 6.188 10.252 10.251
angles: 120.00 90.00 90.00
Atoms (fractional coordinates):
Pm (0.750, 0.703, 0.851)
Pm (0.750, 0.148, 0.297)
Pm (0.750, 0.149, 0.852)
Pm (0.250, 0.297, 0.149)
Pm (0.250, 0.852, 0.703)
Pm (0.250, 0.851, 0.148)
Te (0.250, 0.622, 0.810)
Te (0.250, 0.189, 0.378)
Te (0.250, 0.189, 0.812)
Te (0.750, 0.378, 0.190)
Te (0.750, 0.811, 0.622)
Te (0.750, 0.811, 0.188)
I (0.750, 0.333, 0.667)
I (0.250, 0.667, 0.333)

DOS(E_F), states/eV per atom: 0.6522
Formation energy from raw total energies, eV/atom: -1.21

=====

(9)
BiB2S | PBE-GGA | relaxed

abc: 5.399 5.399 5.727
angles: 61.88 61.88 90.00
Atoms (fractional coordinates):
S (0.500, 0.500, 0.000)
S (0.250, 0.750, 0.500)
B (0.544, 0.125, 0.250)
B (0.206, 0.625, 0.250)
B (0.375, 0.456, 0.750)
B (0.875, 0.794, 0.750)
Bi (0.000, 0.000, 0.000)
Bi (0.750, 0.250, 0.500)

Offset from the most stable computed form, eV per atom: 0.0000
DOS(E_F), states/eV per atom: 0.3505
Formation energy from raw total energies, eV/atom: 0.79

=====

(10)
ScAg2Mo | PBE-GGA | relaxed

abc: 2.992 3.851 6.274
angles: 90.00 90.00 90.00
Atoms (fractional coordinates):
Ag (0.000, 0.000, 0.008)
Ag (0.500, 0.500, 0.253)
Mo (0.000, 0.000, 0.494)
Sc (0.500, 0.500, 0.745)

Offset from the most stable computed form, eV per atom: 0.0842
DOS(E_F), states/eV per atom: 0.9445

=====

(11)
AsPt2Rh2 | PBE-GGA | relaxed

abc: 6.298 6.298 4.079
angles: 90.00 90.00 90.00
Atoms (fractional coordinates):
As (0.000, 0.000, 0.000)
As (0.500, 0.500, 0.000)
Rh (0.352, 0.852, 0.000)
Rh (0.852, 0.648, 0.000)
Rh (0.648, 0.148, 0.000)
Rh (0.148, 0.352, 0.000)
Pt (0.157, 0.657, 0.500)
Pt (0.657, 0.843, 0.500)
Pt (0.843, 0.343, 0.500)
Pt (0.343, 0.157, 0.500)

DOS(E_F), states/eV per atom: 1.4350
Total energy, eV per formula unit: -31.08

=====

(12)
KMgCr | PBE-GGA | relaxed

abc: 5.378 5.378 5.378
angles: 60.00 60.00 60.00
Site moments in Bohr magnetons follow the coordinates.
Atoms (fractional coordinates):
Cr (0.750, 0.750, 0.750)  4.16
K (0.000, 0.000, 0.000)  0.03
Mg (0.500, 0.500, 0.500)  -0.01

Offset from the most stable computed form, eV per atom: 0.2439
DOS(E_F), states/eV per atom: 0.5051

=====

| no. | spin magnetization (Bohr magnetons per cell) |
| --- | --- |
| 1 | 0.00 |
| 2 | 0.00 |
| 3 | 0.00 |
| 4 | 0.02 |
| 5 | 0.00 |
| 6 | 0.00 |
| 7 | 0.27 |
| 8 | 0.01 |
| 9 | 0.00 |
| 10 | 0.00 |
| 11 | 0.00 |
| 12 | 4.99 |